1.
Computed, not measured: an optimized crystal structure of Cs2PuPa3O12 at the GGA-PBE level of DFT.

```
18
Lattice="-4.852 -6.340 1.118 -0.798 -5.574 -5.769 3.109 -7.369 1.011" Properties=species:S:1:pos:R:3 pbc="T T T"
Pa -2.426 -3.170 0.559
Pa -0.399 -2.787 -2.885
Pa 1.554 -3.685 0.505
O -1.240 -9.704 1.085
O -3.656 -8.594 -3.108
O -4.384 -13.370 -4.067
O 1.267 -9.231 -3.174
O 1.842 -5.914 0.427
O -1.302 -9.579 -4.725
O -3.809 -10.053 -0.466
O 0.731 -14.031 -4.136
O 1.114 -10.689 -0.533
O -0.668 -4.761 -3.929
O -1.873 -14.523 0.289
O -3.273 -5.253 0.496
Pu 0.000 0.000 0.000
Cs -0.966 -7.330 -1.384
Cs -1.576 -11.953 -2.257
```

- Calculated density: 6.29 Mg/m³
- ΔE_f (raw): -3.03 eV per atom


2.
Computed, not measured: an optimized crystal structure of CsRb2PaO4 at the GGA-PBE level of DFT.

```
8
Lattice="3.704 0.000 0.000 1.852 6.392 1.580 1.852 3.347 8.316" Properties=species:S:1:pos:R:3 pbc="T T T"
O 3.704 4.999 1.860
O 3.704 4.739 8.036
O 1.852 2.878 6.304
O 5.555 6.860 3.592
Cs 3.704 4.869 4.948
Rb 1.852 2.485 2.339
Rb 5.555 7.253 7.557
Pa 0.000 0.000 0.000
```

- Calculated density: 5.61 Mg/m³
- ΔE_f (raw): -2.39 eV per atom
- DOS at the Fermi energy: 0.00 states/eV/atom


3.
Computed, not measured: an optimized crystal structure of CsRbPaO4 at the GGA-PBE level of DFT.

```
7
Lattice="4.486 0.000 0.000 0.000 4.486 0.000 -2.243 -2.243 7.374" Properties=species:S:1:pos:R:3 pbc="T T T"
Pa 2.243 2.243 7.355
Cs 2.243 2.243 2.325
O 2.243 0.000 7.332
O 0.000 2.243 7.332
O 2.243 2.243 5.337
O 0.000 0.000 2.001
Rb 0.000 0.000 5.187
```

- Calculated density: 5.74 Mg/m³
- ΔE_f (raw): -2.48 eV per atom
- DOS at the Fermi energy: 0.58 states/eV/atom


4.
Computed, not measured: an optimized crystal structure of CsRb2Pa2O7 at the GGA-PBE level of DFT.

```
12
Lattice="4.550 0.000 0.000 0.000 4.559 0.000 -2.275 -2.279 11.317" Properties=species:S:1:pos:R:3 pbc="T T T"
O 0.000 2.281 9.092
O 2.275 -0.001 2.226
O 2.275 2.279 4.233
O 2.275 0.001 9.095
O 0.000 2.279 2.222
O 0.000 0.000 7.084
O 0.000 0.000 11.317
Rb 2.275 0.000 5.643
Rb 0.000 2.280 5.675
Pa 2.275 2.279 2.212
Pa 0.000 0.000 9.106
Cs 2.275 -2.279 11.317
```

- Calculated density: 6.21 Mg/m³
- ΔE_f (raw): -2.59 eV per atom
- DOS at the Fermi energy: 0.95 states/eV/atom


5.
Computed, not measured: an optimized crystal structure of Cs2RbPaO4 at the GGA-PBE level of DFT.

```
8
Lattice="-1.938 -0.137 3.187 -2.488 -6.424 -1.790 6.320 -0.300 3.829" Properties=species:S:1:pos:R:3 pbc="T T T"
Pa 0.000 0.000 0.000
O 2.185 -5.556 3.274
O 4.856 -1.377 2.893
O -0.291 -1.305 1.952
O -1.025 -5.347 -0.854
Cs 2.191 -0.219 3.508
Cs 1.916 -3.362 1.020
Rb -2.213 -3.281 0.699
```

- Calculated density: 5.94 Mg/m³
- ΔE_f (raw): -2.36 eV per atom
- DOS at the Fermi energy: 0.00 states/eV/atom


6.
Computed, not measured: an optimized crystal structure of Cs2PaReO6 at the GGA-PBE level of DFT.

```
10
Lattice="5.953 0.000 0.001 0.000 5.953 0.001 2.977 2.977 6.132" Properties=species:S:1:pos:R:3 pbc="T T T"
Cs 5.953 2.977 3.066
Cs 2.976 5.953 3.067
O 1.673 4.281 0.001
O 4.281 4.280 0.002
O 2.976 2.976 4.186
O 5.953 5.953 1.947
O 7.256 4.649 6.132
O 4.649 4.650 6.131
Re 2.976 2.976 0.001
Pa 0.000 0.000 0.000
```

- Calculated density: 5.95 Mg/m³
- ΔE_f (raw): -2.28 eV per atom
- DOS at the Fermi energy: 0.00 states/eV/atom


7.
Computed, not measured: an optimized crystal structure of CsPaReO6 at the GGA-PBE level of DFT.

```
18
Lattice="7.991 0.000 0.000 0.000 7.457 0.000 -3.995 -3.729 5.454" Properties=species:S:1:pos:R:3 pbc="T T T"
Re 3.995 0.000 0.000
Re 3.995 3.729 0.000
O 0.000 1.864 5.067
O -1.363 -0.289 4.121
O 2.632 -0.289 1.333
O 3.995 1.864 0.387
O 2.632 4.018 1.333
O 0.000 5.593 1.897
O 1.363 -0.289 4.121
O 3.995 -1.864 3.556
O 1.363 4.018 4.121
O -1.363 4.018 4.121
O 5.358 -0.289 1.333
O 5.358 4.018 1.333
Cs 3.995 1.864 3.925
Cs 0.000 1.864 1.529
Pa 1.998 -1.864 2.727
Pa -1.998 -1.864 2.727
```

- Calculated density: 6.60 Mg/m³
- ΔE_f (raw): -2.44 eV per atom
- DOS at the Fermi energy: 0.22 states/eV/atom


8.
Computed, not measured: an optimized crystal structure of CsPaRhO4 at the GGA-PBE level of DFT.

```
14
Lattice="5.772 0.000 0.000 -2.886 7.280 0.369 0.000 -3.603 5.926" Properties=species:S:1:pos:R:3 pbc="T T T"
Cs 0.000 -0.706 5.658
Cs 2.886 4.384 0.636
O 2.886 1.713 1.602
O 1.258 6.224 1.755
O 0.000 3.268 2.547
O 0.000 1.964 4.693
O 4.144 -2.546 4.539
O 1.628 -2.546 4.539
O -1.258 6.224 1.755
O 2.886 0.409 3.747
Pa 2.886 -1.802 2.963
Pa 2.886 0.000 0.000
Rh 1.443 1.839 3.147
Rh -1.443 1.839 3.147
```

- Calculated density: 6.87 Mg/m³
- ΔE_f (raw): -2.07 eV per atom
- DOS at the Fermi energy: 0.24 states/eV/atom


no.,electronic total energy (eV per atom)
1,-8.812
2,-6.405
3,-6.928
4,-7.299
5,-6.356
6,-7.618
7,-8.283
8,-7.432